Al8Cr2Fe | PBE | optimized geometry

The structure in POSCAR format:
```
Al8Cr2Fe
1.0
-0.261 2.169 -3.658
1.992 -4.538 -2.833
-7.159 -1.036 2.379
Al Cr Fe
8 2 1
Cartesian
-5.071 -0.571 0.024
-1.284 -0.724 -2.819
0.515 -1.174 -0.733
-2.244 -0.792 -0.309
-5.943 -2.232 -3.380
-3.184 -2.614 -3.803
-0.357 -2.835 -4.137
-4.144 -2.682 -1.293
-1.450 -3.132 -1.753
-3.978 -0.274 -2.359
-0.131 1.084 -1.829
```

Results
* VASP energy: -5.27 eV/atom

=====

GeAs2SeF | PBE | optimized geometry

The structure in POSCAR format:
```
GeAs2SeF
1.0
-4.914 0.152 0.575
-0.593 -0.860 -4.838
-0.049 -4.844 0.867
Se F As Ge
1 1 2 1
Cartesian
-0.024 -2.422 0.434
-2.778 -2.776 -1.698
-0.296 -0.430 -2.419
-2.457 0.076 0.288
0.000 0.000 0.000
```

Results
* formation energy without anion corrections: 514 meV/atom
* excess energy over the best structure of this formula in the dataset: 234.6 meV/atom
* VASP energy: -3.34 eV/atom

=====

Mg4ZnAu7 | PBE | optimized geometry

The structure in POSCAR format:
```
Mg4ZnAu7
1.0
-3.403 -0.127 -3.646
3.716 -5.100 -6.705
-3.611 -4.608 0.117
Au Mg Zn
7 4 1
Cartesian
1.649 -4.299 -4.803
-1.702 -0.063 -1.823
-2.192 -2.753 -1.271
-4.947 -5.536 -5.430
-1.106 -7.082 -8.962
-2.017 -6.165 -4.730
-1.281 -3.670 -5.504
0.015 -5.889 -6.637
-0.228 -2.697 -3.107
-3.314 -3.945 -3.596
-3.071 -7.138 -7.126
0.000 0.000 0.000
```

Results
* VASP energy: -2.92 eV/atom

=====

HfHSe2Br | PBE | optimized geometry

The structure in POSCAR format:
```
HfHSe2Br
1.0
4.149 0.000 0.000
0.000 4.149 0.000
0.000 0.000 5.047
Se H Hf Br
2 1 1 1
Cartesian
0.000 2.075 0.000
2.075 0.000 0.000
0.000 0.000 0.000
2.075 2.075 2.523
0.000 0.000 2.523
```

Results
* excess energy over the best structure of this formula in the dataset: 453.2 meV/atom
* VASP energy: -4.12 eV/atom

=====

Bi2OsAu2 | PBE | optimized geometry

The structure in POSCAR format:
```
Bi2OsAu2
1.0
7.343 0.000 0.000
0.000 7.343 0.000
0.000 0.000 4.372
Au Os Bi
4 2 4
Cartesian
1.016 4.687 2.186
6.327 2.656 2.186
2.656 1.016 2.186
4.687 6.327 2.186
0.000 0.000 0.000
3.671 3.671 0.000
1.227 2.444 0.000
6.116 4.898 0.000
2.444 6.116 0.000
4.898 1.227 0.000
```

Results
* excess energy over the best structure of this formula in the dataset: 194.5 meV/atom
* VASP energy: -4.36 eV/atom

=====

Re2TeAs | PBE | optimized geometry

The structure in POSCAR format:
```
Re2TeAs
1.0
3.216 0.000 0.000
0.000 4.516 0.000
0.000 0.000 4.516
Re Te As
2 1 1
Cartesian
0.000 2.258 2.258
0.000 0.000 0.000
1.608 2.258 0.000
1.608 0.000 2.258
```

Results
* formation energy without anion corrections: 634 meV/atom
* excess energy over the best structure of this formula in the dataset: 389.5 meV/atom
* VASP energy: -7.54 eV/atom